Compound: Ac2PrCd4
Source: the Alexandria database
Functional: GGA-PBE
Structure: relaxed

Lattice parameters (Å, degrees): 8.3120 8.3120 8.3120 139.94 139.94 57.95
With the nearest neighbours (Å) after each atom.
Fractional positions:
Ac: 0.2309 0.2309 0.0000  8 Cd 3.38-3.71
Ac: 0.7691 0.7691 0.0000  8 Cd 3.38-3.71
Pr: 0.5000 0.5000 0.0000  8 Cd 3.24
Cd: 0.1059 0.6059 0.5000  1 Cd 3.08, 2 Pr 3.24, 2 Ac 3.38
Cd: 0.3941 0.8941 0.5000  1 Cd 3.08, 2 Pr 3.24, 2 Ac 3.38
Cd: 0.6059 0.1059 0.5000  1 Cd 3.08, 2 Pr 3.24, 2 Ac 3.38
Cd: 0.8941 0.3941 0.5000  1 Cd 3.08, 2 Pr 3.24, 2 Ac 3.38

**Space-group type**: I4/mmm
**Total energy**: -17.828 eV/cell
**Calculated formation energy**: -0.1673 eV per atom